# GGA-PBE Sc2AlNi, optimized geometry
data_Sc2AlNi
_cell_length_a 3.2113
_cell_length_b 3.2113
_cell_length_c 25.4923
_cell_angle_alpha 90.00
_cell_angle_beta 90.00
_cell_angle_gamma 120.00
_space_group_name_H-M_alt 'R -3 m'
_space_group_IT_number 166
_space_group_name_Hall '-R 3 2"'
loop_
_atom_site_label
_atom_site_fract_x
_atom_site_fract_y
_atom_site_fract_z
_atom_site_occupancy
Sc1 0.0000 0.0000 0.2396 1
Al1 0.0000 0.0000 0.0000 1
Ni1 0.0000 0.0000 0.5000 1
# energy of formation = -0.206 eV per atom
# ρ = 3.84 g/cm³
# total magnetization = 0.0 μB/cell
# E = -5.75 eV per atom